Entry A
DFT (PBE+U) results for crystalline Tc3NiF at its relaxed geometry.

The structure in CIF format:
```
data_Tc3NiF
_symmetry_space_group_name_H-M 'P m -3 m'
_symmetry_Int_Tables_number 221
_symmetry_space_group_name_Hall '-P 4 2 3'
_cell_length_a 4.484
_cell_length_b 4.484
_cell_length_c 4.484
_cell_angle_alpha 90.00
_cell_angle_beta 90.00
_cell_angle_gamma 90.00
loop_
_atom_site_label
_atom_site_type_symbol
_atom_site_fract_x
_atom_site_fract_y
_atom_site_fract_z
_atom_site_occupancy
Tc1 Tc 0.000 0.000 0.500 1
Ni1 Ni 0.000 0.000 0.000 1
F1 F 0.500 0.500 0.500 1
```

Calculated values
Crystal system: cubic
Calculated volume, Å³/cell: 90
Fermi-level density of states, states/eV/cell: 5.14

Entry B
DFT (PBE+U) results for crystalline Tc3NiF at its relaxed geometry.

The structure in CIF format:
```
data_Tc3NiF
_symmetry_space_group_name_H-M 'P m -3 m'
_symmetry_Int_Tables_number 221
_symmetry_space_group_name_Hall '-P 4 2 3'
_cell_length_a 4.086
_cell_length_b 4.086
_cell_length_c 4.086
_cell_angle_alpha 90.00
_cell_angle_beta 90.00
_cell_angle_gamma 90.00
loop_
_atom_site_label
_atom_site_type_symbol
_atom_site_fract_x
_atom_site_fract_y
_atom_site_fract_z
_atom_site_occupancy
Tc1 Tc 0.000 0.000 0.500 1
Ni1 Ni 0.500 0.500 0.500 1
F1 F 0.000 0.000 0.000 1
```

Calculated values
Crystal system: cubic
Calculated volume, Å³/cell: 68
Fermi-level density of states, states/eV/cell: 5.13

Least stable = entry A

Entry A
DFT (PBE+U) results for crystalline TcNiF3 at its relaxed geometry.

The structure in CIF format:
```
data_TcNiF3
_symmetry_space_group_name_H-M 'P m -3 m'
_symmetry_Int_Tables_number 221
_symmetry_space_group_name_Hall '-P 4 2 3'
_cell_length_a 4.049
_cell_length_b 4.049
_cell_length_c 4.049
_cell_angle_alpha 90.00
_cell_angle_beta 90.00
_cell_angle_gamma 90.00
loop_
_atom_site_label
_atom_site_type_symbol
_atom_site_fract_x
_atom_site_fract_y
_atom_site_fract_z
_atom_site_occupancy
Tc1 Tc 0.000 0.000 0.000 1
Ni1 Ni 0.500 0.500 0.500 1
F1 F 0.000 0.500 0.500 1
```

Calculated values
Crystal system: cubic
Calculated volume, Å³/cell: 66
Fermi-level density of states, states/eV/cell: 3.80

Entry B
DFT (PBE+U) results for crystalline TcNiF3 at its relaxed geometry.

The structure in CIF format:
```
data_TcNiF3
_symmetry_space_group_name_H-M 'P m -3 m'
_symmetry_Int_Tables_number 221
_symmetry_space_group_name_Hall '-P 4 2 3'
_cell_length_a 4.191
_cell_length_b 4.191
_cell_length_c 4.191
_cell_angle_alpha 90.00
_cell_angle_beta 90.00
_cell_angle_gamma 90.00
loop_
_atom_site_label
_atom_site_type_symbol
_atom_site_fract_x
_atom_site_fract_y
_atom_site_fract_z
_atom_site_occupancy
Tc1 Tc 0.000 0.000 0.000 1
Ni1 Ni 0.500 0.500 0.500 1
F1 F 0.000 0.000 0.500 1
```

Calculated values
Crystal system: cubic
Calculated volume, Å³/cell: 74
Fermi-level density of states, states/eV/cell: 8.79

Least stable = entry B

Entry A
DFT (PBE+U) results for crystalline NiTeF2 at its relaxed geometry.

The structure in CIF format:
```
data_NiTeF2
_symmetry_space_group_name_H-M 'R -3 m'
_symmetry_Int_Tables_number 166
_symmetry_space_group_name_Hall '-R 3 2"'
_cell_length_a 3.1310
_cell_length_b 3.1310
_cell_length_c 27.8975
_cell_angle_alpha 90.00
_cell_angle_beta 90.00
_cell_angle_gamma 120.00
loop_
_atom_site_label
_atom_site_type_symbol
_atom_site_fract_x
_atom_site_fract_y
_atom_site_fract_z
_atom_site_occupancy
Ni1 Ni 0.0000 0.0000 0.0000 1
Te1 Te 0.0000 0.0000 0.5000 1
F1 F 0.0000 0.0000 0.3678 1
```

Calculated values
Crystal system: trigonal
Calculated volume, Å³/cell: 237
Fermi-level density of states, states/eV/cell: 3.29

Entry B
DFT (PBE+U) results for crystalline NiTeF2 at its relaxed geometry.

The structure in CIF format:
```
data_NiTeF2
_symmetry_space_group_name_H-M 'I -4 2 d'
_symmetry_Int_Tables_number 122
_symmetry_space_group_name_Hall 'I -4 2bw'
_cell_length_a 5.763
_cell_length_b 5.763
_cell_length_c 9.793
_cell_angle_alpha 90.00
_cell_angle_beta 90.00
_cell_angle_gamma 90.00
loop_
_atom_site_label
_atom_site_type_symbol
_atom_site_fract_x
_atom_site_fract_y
_atom_site_fract_z
_atom_site_occupancy
Ni1 Ni 0.000 0.000 0.000 1
Te1 Te 0.000 0.000 0.500 1
F1 F 0.012 0.250 0.125 1
```

Calculated values
Crystal system: tetragonal
Calculated volume, Å³/cell: 325
Fermi-level density of states, states/eV/cell: 5.01

Least stable = entry B

Entry A
DFT (PBE+U) results for crystalline TiNi3F at its relaxed geometry.

The structure in CIF format:
```
data_TiNi3F
_symmetry_space_group_name_H-M 'P m -3 m'
_symmetry_Int_Tables_number 221
_symmetry_space_group_name_Hall '-P 4 2 3'
_cell_length_a 3.958
_cell_length_b 3.958
_cell_length_c 3.958
_cell_angle_alpha 90.00
_cell_angle_beta 90.00
_cell_angle_gamma 90.00
loop_
_atom_site_label
_atom_site_type_symbol
_atom_site_fract_x
_atom_site_fract_y
_atom_site_fract_z
_atom_site_occupancy
Ti1 Ti 0.000 0.000 0.000 1
Ni1 Ni 0.000 0.500 0.500 1
F1 F 0.500 0.500 0.500 1
```

Calculated values
Crystal system: cubic
Calculated volume, Å³/cell: 62
Fermi-level density of states, states/eV/cell: 5.32

Entry B
DFT (PBE+U) results for crystalline TiNi3F at its relaxed geometry.

The structure in CIF format:
```
data_TiNi3F
_symmetry_space_group_name_H-M 'P m -3 m'
_symmetry_Int_Tables_number 221
_symmetry_space_group_name_Hall '-P 4 2 3'
_cell_length_a 4.300
_cell_length_b 4.300
_cell_length_c 4.300
_cell_angle_alpha 90.00
_cell_angle_beta 90.00
_cell_angle_gamma 90.00
loop_
_atom_site_label
_atom_site_type_symbol
_atom_site_fract_x
_atom_site_fract_y
_atom_site_fract_z
_atom_site_occupancy
Ti1 Ti 0.000 0.000 0.000 1
Ni1 Ni 0.000 0.000 0.500 1
F1 F 0.500 0.500 0.500 1
```

Calculated values
Crystal system: cubic
Calculated volume, Å³/cell: 80
Fermi-level density of states, states/eV/cell: 2.28

Least stable = entry B

Entry A
DFT (PBE+U) results for crystalline TlNiF2 at its relaxed geometry.

The structure in CIF format:
```
data_TlNiF2
_symmetry_space_group_name_H-M 'R -3 m'
_symmetry_Int_Tables_number 166
_symmetry_space_group_name_Hall '-R 3 2"'
_cell_length_a 3.8592
_cell_length_b 3.8592
_cell_length_c 21.0436
_cell_angle_alpha 90.00
_cell_angle_beta 90.00
_cell_angle_gamma 120.00
loop_
_atom_site_label
_atom_site_type_symbol
_atom_site_fract_x
_atom_site_fract_y
_atom_site_fract_z
_atom_site_occupancy
Tl1 Tl 0.0000 0.0000 0.0000 1
Ni1 Ni 0.0000 0.0000 0.5000 1
F1 F 0.0000 0.0000 0.4106 1
```

Calculated values
Crystal system: trigonal
Calculated volume, Å³/cell: 271
Fermi-level density of states, states/eV/cell: 0.00

Entry B
DFT (PBE+U) results for crystalline TlNiF2 at its relaxed geometry.

The structure in CIF format:
```
data_TlNiF2
_symmetry_space_group_name_H-M 'R -3 m'
_symmetry_Int_Tables_number 166
_symmetry_space_group_name_Hall '-R 3 2"'
_cell_length_a 3.2030
_cell_length_b 3.2030
_cell_length_c 24.7633
_cell_angle_alpha 90.00
_cell_angle_beta 90.00
_cell_angle_gamma 120.00
loop_
_atom_site_label
_atom_site_type_symbol
_atom_site_fract_x
_atom_site_fract_y
_atom_site_fract_z
_atom_site_occupancy
Tl1 Tl 0.0000 0.0000 0.0000 1
Ni1 Ni 0.0000 0.0000 0.5000 1
F1 F 0.0000 0.0000 0.1282 1
```

Calculated values
Crystal system: trigonal
Calculated volume, Å³/cell: 220
Fermi-level density of states, states/eV/cell: 3.98

Entry C
DFT (PBE+U) results for crystalline TlNiF2 at its relaxed geometry.

The structure in CIF format:
```
data_TlNiF2
_symmetry_space_group_name_H-M 'F m -3 m'
_symmetry_Int_Tables_number 225
_symmetry_space_group_name_Hall '-F 4 2 3'
_cell_length_a 6.245
_cell_length_b 6.245
_cell_length_c 6.245
_cell_angle_alpha 90.00
_cell_angle_beta 90.00
_cell_angle_gamma 90.00
loop_
_atom_site_label
_atom_site_type_symbol
_atom_site_fract_x
_atom_site_fract_y
_atom_site_fract_z
_atom_site_occupancy
Tl1 Tl 0.000 0.000 0.000 1
Ni1 Ni 0.000 0.000 0.500 1
F1 F 0.250 0.250 0.250 1
```

Calculated values
Crystal system: cubic
Calculated volume, Å³/cell: 244
Fermi-level density of states, states/eV/cell: 82.06

Least stable = entry C

Entry A
DFT (PBE+U) results for crystalline V2Ni2F at its relaxed geometry.

The structure in CIF format:
```
data_V2Ni2F
_symmetry_space_group_name_H-M 'I 4/m m m'
_symmetry_Int_Tables_number 139
_symmetry_space_group_name_Hall '-I 4 2'
_cell_length_a 3.318
_cell_length_b 3.318
_cell_length_c 13.641
_cell_angle_alpha 90.00
_cell_angle_beta 90.00
_cell_angle_gamma 90.00
loop_
_atom_site_label
_atom_site_type_symbol
_atom_site_fract_x
_atom_site_fract_y
_atom_site_fract_z
_atom_site_occupancy
V1 V 0.000 0.000 0.105 1
Ni1 Ni 0.000 0.500 0.250 1
F1 F 0.000 0.000 0.500 1
```

Calculated values
Crystal system: tetragonal
Calculated volume, Å³/cell: 150
Fermi-level density of states, states/eV/cell: 3.75

Entry B
DFT (PBE+U) results for crystalline V2Ni2F at its relaxed geometry.

The structure in CIF format:
```
data_V2Ni2F
_symmetry_space_group_name_H-M 'P 4/m b m'
_symmetry_Int_Tables_number 127
_symmetry_space_group_name_Hall '-P 4 2ab'
_cell_length_a 5.908
_cell_length_b 5.908
_cell_length_c 4.388
_cell_angle_alpha 90.00
_cell_angle_beta 90.00
_cell_angle_gamma 90.00
loop_
_atom_site_label
_atom_site_type_symbol
_atom_site_fract_x
_atom_site_fract_y
_atom_site_fract_z
_atom_site_occupancy
V1 V 0.168 0.332 0.000 1
Ni1 Ni 0.144 0.644 0.500 1
F1 F 0.000 0.000 0.000 1
```

Calculated values
Crystal system: tetragonal
Calculated volume, Å³/cell: 153
Fermi-level density of states, states/eV/cell: 5.50

Least stable = entry A